# 1
A relaxed structure of K3HfSc2S6. Source: the Alexandria database, functional PBE.

## Properties
crystal system = monoclinic
energy relative to the elements, uncorrected = -1.662 eV per atom
space group = C2/m, No. 12

a = 6.582 Å, b = 6.582 Å, c = 7.662 Å
α = 98.23°, β = 98.23°, γ = 120.00°
Positions (direct):
1 S 0.607 0.935 0.805
2 K 0.832 0.168 0.500
3 Hf 0.000 0.000 0.000
4 K 0.168 0.832 0.500
5 Sc 0.667 0.333 0.000
6 Sc 0.333 0.667 0.000
7 S 0.393 0.065 0.195
8 S 0.737 0.737 0.195
9 K 0.500 0.500 0.500
10 S 0.935 0.607 0.805
11 S 0.065 0.393 0.195
12 S 0.263 0.263 0.805

=====

# 2
A relaxed structure of Y2Ho3Tm8. Source: the Alexandria database, functional PBE.

## Properties
crystal system = monoclinic
energy above the lowest structure with this stoichiometry = 82 meV/atom
space group = C2/m, No. 12
formation energy from the elements = 0.25 eV/atom

a = 5.508 Å, b = 7.508 Å, c = 10.816 Å
α = 110.33°, β = 90.02°, γ = 90.00°
Positions (direct):
1 Ho 0.000 0.716 0.000
2 Ho 0.000 0.284 0.000
3 Tm 0.000 0.131 0.263
4 Tm 0.500 0.605 0.783
5 Ho 0.500 0.000 0.000
6 Tm 0.001 0.664 0.328
7 Y 0.499 0.241 0.483
8 Tm 0.500 0.395 0.217
9 Tm 0.999 0.336 0.672
10 Tm 0.000 0.869 0.737
11 Y 0.501 0.759 0.517
12 Tm 0.500 0.822 0.217
13 Tm 0.500 0.178 0.783

=====

# 3
A relaxed structure of CeErPb. Source: the Alexandria database, functional PBE.

## Properties
crystal system = tetragonal
energy above the lowest structure with this stoichiometry = 216 meV/atom
space group = I4mm, No. 107
formation energy from the elements = -0.19 eV/atom

a = 4.131 Å, b = 4.131 Å, c = 5.865 Å
α = 110.62°, β = 110.62°, γ = 90.00°
Last column: magnetic moment on the atom in μB.
Positions (direct):
1 Ce 0.292 0.292 0.584  0.72
2 Pb 0.955 0.955 0.909  -0.01
3 Er 0.603 0.603 0.207  0.16

=====

# 4
A relaxed structure of TmZrMn2. Source: the Alexandria database, functional PBE.

## Properties
crystal system = cubic
energy above the lowest structure with this stoichiometry = 60 meV/atom
space group = Fm-3m, No. 225
formation energy from the elements = 0.13 eV/atom

a = 4.771 Å, b = 4.771 Å, c = 4.771 Å
α = 60.00°, β = 60.00°, γ = 60.00°
Last column: magnetic moment on the atom in μB.
Positions (direct):
1 Zr 0.000 0.000 0.000  -0.68
2 Tm 0.500 0.500 0.500  -0.20
3 Mn 0.750 0.750 0.750  3.03
4 Mn 0.250 0.250 0.250  3.03

=====

Number 4 is which compound? TmZrMn2